Record 1
Material: Ce2Tl2Hg3
Method: DFT, PBE-GGA
State: optimized geometry

E_tot: -2.566 eV per atom
Space group: I2_13

Cell lengths 8.1470, 8.1470, 8.1470 Å; angles 109.47, 109.47, 109.47 degrees
Site moments in Bohr magnetons follow the coordinates.
Fractional coordinates of all 14 atoms:
Ce: 0.0000 0.0000 0.4789  1.05
Ce: 0.5000 0.4789 0.5000  1.05
Ce: 0.5211 0.0211 0.0211  1.05
Ce: 0.9789 0.5000 0.0000  1.05
Tl: 0.0000 0.0000 0.8667  0.00
Tl: 0.5000 0.8667 0.5000  0.00
Tl: 0.1333 0.6333 0.6333  0.00
Tl: 0.3667 0.5000 0.0000  0.00
Hg: 0.7392 0.7500 0.9892  0.04
Hg: 0.7608 0.2500 0.5108  0.04
Hg: 0.0108 0.2608 0.2500  0.04
Hg: 0.4892 0.2392 0.7500  0.04
Hg: 0.2500 0.9892 0.2392  0.04
Hg: 0.7500 0.5108 0.2608  0.04



Record 2
Material: Ce8TlHg2
Method: DFT, PBE-GGA
State: optimized geometry

Offset from the most stable computed form: 0.0156 eV per atom
Space group: Immm

Cell lengths 5.3724, 9.7640, 7.9695 Å; angles 127.77, 109.71, 90.00 degrees
Site moments in Bohr magnetons follow the coordinates.
Fractional coordinates of all 11 atoms:
Tl: 0.5000 0.0000 0.0000  -0.01
Hg: 0.1495 0.6497 0.2994  0.00
Hg: 0.8505 0.3503 0.7006  0.00
Ce: 0.6606 0.8827 0.3214  0.50
Ce: 0.3393 0.5611 0.6783  0.50
Ce: 0.1903 0.1902 0.3803  0.52
Ce: 0.9999 0.2186 0.9998  0.58
Ce: 0.8097 0.8098 0.6197  0.52
Ce: 0.6607 0.4389 0.3217  0.50
Ce: 0.3394 0.1173 0.6786  0.50
Ce: 0.0001 0.7814 0.0002  0.58



Record 3
Material: Ce4Tl3Hg
Method: DFT, PBE-GGA
State: optimized geometry

E_tot: -4.147 eV per atom
Space group: I4/mmm

Cell lengths 4.8873, 4.8874, 9.9516 Å; angles 75.78, 104.21, 90.00 degrees
Site moments in Bohr magnetons follow the coordinates.
Fractional coordinates of all 8 atoms:
Ce: 0.1235 0.8767 0.2469  0.93
Ce: 0.8765 0.1233 0.7531  0.93
Ce: 0.3765 0.6236 0.7531  0.93
Ce: 0.6235 0.3764 0.2469  0.93
Tl: 0.0000 0.5000 0.0000  -0.01
Tl: 0.2499 0.2503 0.4998  -0.01
Tl: 0.7501 0.7497 0.5002  -0.01
Hg: 0.5000 0.0000 0.0000  0.00



Record 4
Material: Ce3Tl2Hg3
Method: DFT, PBE-GGA
State: optimized geometry

Offset from the most stable computed form: 0.0021 eV per atom
Space group: P-62m

Cell lengths 3.4186, 8.7638, 8.7638 Å; angles 120.00, 90.00, 90.00 degrees
Site moments in Bohr magnetons follow the coordinates.
Fractional coordinates of all 8 atoms:
Ce: 0.5000 0.3255 0.3255  0.99
Ce: 0.5000 0.6745 0.0000  0.99
Ce: 0.5000 0.0000 0.6745  0.99
Tl: 0.0000 0.3333 0.6667  -0.01
Tl: 0.0000 0.6667 0.3333  -0.01
Hg: 0.0000 0.6948 0.6948  0.00
Hg: 0.0000 0.3052 0.0000  0.00
Hg: 0.0000 0.0000 0.3052  0.00



Record 5
Material: Ce2Tl2Hg
Method: DFT, PBE-GGA
State: optimized geometry

Offset from the most stable computed form: 0.0000 eV per atom
Space group: C2/m

Cell lengths 4.9572, 5.6918, 13.4212 Å; angles 54.07, 79.36, 64.18 degrees
Site moments in Bohr magnetons follow the coordinates.
Fractional coordinates of all 10 atoms:
Ce: 0.4613 0.7054 0.8719  0.76
Ce: 0.9614 0.2054 0.3719  0.76
Ce: 0.5387 0.2946 0.1281  0.76
Ce: 0.0386 0.7946 0.6281  0.76
Tl: 0.3413 0.2690 0.5484  0.00
Tl: 0.1587 0.2310 0.9516  0.00
Tl: 0.6587 0.7310 0.4516  0.00
Tl: 0.8413 0.7690 0.0484  0.00
Hg: 0.2501 0.7500 0.2500  0.01
Hg: 0.7499 0.2500 0.7500  0.01



Record 6
Material: Ce6TlHg
Method: DFT, PBE-GGA
State: optimized geometry

Offset from the most stable computed form: 0.0000 eV per atom
Space group: P4/mmm

Cell lengths 4.8021, 4.8021, 9.5917 Å; angles 90.00, 90.00, 90.00 degrees
Site moments in Bohr magnetons follow the coordinates.
Fractional coordinates of all 8 atoms:
Ce: 0.5000 0.5000 0.0000  0.84
Ce: 0.5000 0.5000 0.5000  0.75
Ce: 0.5000 0.0000 0.2478  0.79
Ce: 0.5000 0.0000 0.7522  0.79
Ce: 0.0000 0.5000 0.2478  0.79
Ce: 0.0000 0.5000 0.7522  0.79
Tl: 0.0000 0.0000 0.5000  -0.02
Hg: 0.0000 0.0000 0.0000  0.00



Number 1: total magnetic moment 2.830 μB per formula unit. Number 2: total magnetic moment 4.996 μB per formula unit. Number 3: total magnetic moment 4.811 μB per formula unit. Number 4: total magnetic moment 3.687 μB per formula unit. Number 5: total magnetic moment 1.722 μB per formula unit. Number 6: total magnetic moment 6.006 μB per formula unit.